12
Lattice="9.742 -2.212 0.000 9.742 2.212 0.000 -2.233 0.000 8.675" Properties=species:S:1:pos:R:3 comment="La6Te3As2Cl | Alexandria via LeMat-Bulk | PBE-GGA | optimized geometry" dft_energy_ev_per_cell=-69.61 n_ef_per_ev_cell=6.28 raw_formation_energy_ev_per_atom=-1.623 magnetic_moment_mub_per_atom=0.000 density_g_cm3=6.22 pbc="T T T"
La -0.395 0.000 2.079
La 5.401 0.000 3.748
La 4.556 0.000 7.795
La 12.695 0.000 0.880
La 11.850 0.000 4.927
La 17.646 0.000 6.597
Te 1.370 0.000 7.231
Te 8.625 0.000 4.338
Te 15.880 0.000 1.444
As 2.492 0.000 2.880
As 14.759 0.000 5.796
Cl 9.742 0.000 0.000